1.
Sc4CdGeN2 | PBE-GGA | optimized geometry

Cell and atoms, written as POSCAR:
```
Sc4CdGeN2
1.0
-2.844 -1.369 -0.672
2.358 -1.751 1.336
-4.789 3.528 13.080
Sc N Cd Ge
4 2 1 1
direct
0.667 0.333 0.823
0.000 0.000 0.653
0.667 0.333 0.177
0.000 0.000 0.347
0.333 0.667 0.738
0.333 0.667 0.262
0.000 0.000 0.000
0.667 0.333 0.500
```

Space-group type: No. 187
Total DFT energy (no corrections) (eV/atom): -7.121
Magnetization (μB per formula unit): 0.253

2.
Ta4CdGeN2 | PBE-GGA | optimized geometry

Cell and atoms, written as POSCAR:
```
Ta4CdGeN2
1.0
3.176 0.000 0.000
-1.588 2.751 0.000
0.000 0.000 13.466
Ge N Ta Cd
1 2 4 1
direct
0.000 0.000 0.500
0.333 0.667 0.265
0.333 0.667 0.735
0.667 0.333 0.647
0.000 0.000 0.180
0.667 0.333 0.353
0.000 0.000 0.820
0.667 0.333 0.000
```

Space-group type: No. 187
Total DFT energy (no corrections) (eV/atom): -9.157
Magnetization (μB per formula unit): 0.000

3.
CdGeW4N2 | PBE-GGA | optimized geometry

Cell and atoms, written as POSCAR:
```
CdGeW4N2
1.0
2.872 0.000 0.000
-1.436 2.488 0.000
0.000 0.000 15.114
W N Cd Ge
4 2 1 1
direct
0.333 0.667 0.834
0.333 0.667 0.166
0.000 0.000 0.355
0.000 0.000 0.645
0.667 0.333 0.740
0.667 0.333 0.260
0.000 0.000 0.000
0.333 0.667 0.500
```

Space-group type: No. 187
Total DFT energy (no corrections) (eV/atom): -8.999
Magnetization (μB per formula unit): 0.014

4.
Y4CdGeN2 | PBE-GGA | optimized geometry

Cell and atoms, written as POSCAR:
```
Y4CdGeN2
1.0
-2.819 -2.086 0.024
3.175 -1.335 0.661
-1.918 2.763 14.784
Cd Y N Ge
1 4 2 1
direct
0.000 0.000 0.500
0.000 0.000 0.151
0.333 0.667 0.671
0.333 0.667 0.329
0.000 0.000 0.849
0.667 0.333 0.239
0.667 0.333 0.761
0.333 0.667 0.000
```

Space-group type: No. 187
Total DFT energy (no corrections) (eV/atom): -7.033
Magnetization (μB per formula unit): 0.544

5.
Na4CdGePd2 | PBE-GGA | optimized geometry

Cell and atoms, written as POSCAR:
```
Na4CdGePd2
1.0
-3.442 3.361 0.200
-3.219 -3.369 1.213
1.390 1.034 6.564
Na Ge Cd Pd
4 1 1 2
direct
0.000 0.500 0.744
0.000 0.000 0.500
0.500 0.000 0.256
0.500 0.500 0.000
0.500 0.500 0.500
0.000 0.000 0.000
0.000 0.500 0.280
0.500 0.000 0.720
```

Space-group type: No. 115
Total DFT energy (no corrections) (eV/atom): -2.786

6.
Na4CdGe2Pd | PBE-GGA | optimized geometry

Cell and atoms, written as POSCAR:
```
Na4CdGe2Pd
1.0
4.822 0.000 0.000
0.000 4.822 0.000
0.000 0.000 6.936
Ge Na Cd Pd
2 4 1 1
direct
0.500 0.000 0.268
0.000 0.500 0.732
0.000 0.500 0.263
0.500 0.500 0.000
0.000 0.000 0.500
0.500 0.000 0.737
0.000 0.000 0.000
0.500 0.500 0.500
```

Space-group type: No. 115
Total DFT energy (no corrections) (eV/atom): -2.691

7.
Na4CdGePt2 | PBE-GGA | optimized geometry

Cell and atoms, written as POSCAR:
```
Na4CdGePt2
1.0
4.744 0.000 0.000
0.000 4.744 0.000
0.000 0.000 6.774
Cd Ge Na Pt
1 1 4 2
direct
0.000 0.000 0.000
0.500 0.500 0.500
0.500 0.500 0.000
0.000 0.000 0.500
0.500 0.000 0.746
0.000 0.500 0.254
0.500 0.000 0.279
0.000 0.500 0.721
```

Space-group type: No. 115
Total DFT energy (no corrections) (eV/atom): -3.043
Magnetization (μB per formula unit): 0.007

8.
Na2CdGe2S6 | PBE-GGA | optimized geometry

Cell and atoms, written as POSCAR:
```
Na2CdGe2S6
1.0
3.681 -6.380 0.000
3.681 6.380 0.000
-1.806 0.000 11.534
Cd S Na Ge
2 12 4 4
direct
0.152 0.650 0.221
0.650 0.152 0.721
0.408 0.033 0.193
0.179 0.181 0.437
0.421 0.529 0.237
0.920 0.607 0.382
0.022 0.887 0.665
0.033 0.408 0.693
0.887 0.022 0.165
0.917 0.478 0.025
0.181 0.179 0.937
0.529 0.421 0.737
0.607 0.920 0.882
0.478 0.917 0.525
0.579 0.559 0.013
0.166 0.765 0.878
0.765 0.166 0.378
0.559 0.579 0.513
0.188 0.237 0.747
0.164 0.888 0.498
0.888 0.164 0.998
0.237 0.188 0.247
```

Space-group type: No. 9
Total DFT energy (no corrections) (eV/atom): -4.093

9.
Na2CdGe2Se6 | PBE-GGA | optimized geometry

Cell and atoms, written as POSCAR:
```
Na2CdGe2Se6
1.0
3.847 -6.702 0.000
3.847 6.702 0.000
-1.882 0.000 12.141
Se Na Cd Ge
12 4 2 4
direct
0.714 0.602 0.454
0.533 0.225 0.816
0.602 0.714 0.954
0.225 0.533 0.316
0.224 0.654 0.666
0.960 0.953 0.252
0.123 0.261 0.026
0.724 0.102 0.499
0.953 0.960 0.752
0.654 0.224 0.166
0.261 0.123 0.526
0.102 0.724 0.999
0.374 0.971 0.313
0.563 0.576 0.681
0.971 0.374 0.813
0.576 0.563 0.181
0.985 0.486 0.472
0.486 0.985 0.972
0.973 0.253 0.193
0.951 0.904 0.944
0.253 0.973 0.693
0.904 0.951 0.444
```

Space-group type: No. 9
Total DFT energy (no corrections) (eV/atom): -3.673

10.
Na4ZnCdGe2 | PBE-GGA | optimized geometry

Cell and atoms, written as POSCAR:
```
Na4ZnCdGe2
1.0
4.705 0.000 0.000
-2.352 4.074 0.000
0.000 0.000 9.824
Zn Na Cd Ge
1 4 1 2
direct
0.000 0.000 0.500
0.333 0.667 0.336
0.333 0.667 0.664
0.667 0.333 0.171
0.667 0.333 0.829
0.000 0.000 0.000
0.333 0.667 0.000
0.667 0.333 0.500
```

Space-group type: No. 187
Total DFT energy (no corrections) (eV/atom): -2.223

11.
NbCdGe | PBE-GGA | optimized geometry

Cell and atoms, written as POSCAR:
```
NbCdGe
1.0
-1.786 -3.904 1.485
0.754 -1.365 4.267
-3.380 0.058 3.034
Cd Ge Nb
1 1 1
direct
0.500 0.500 0.500
0.000 0.000 0.000
0.250 0.250 0.250
```

Space-group type: No. 216
Total DFT energy (no corrections) (eV/atom): -4.664
Magnetization (μB per formula unit): 1.154

12.
NbCdGe2 | PBE-GGA | optimized geometry

Cell and atoms, written as POSCAR:
```
NbCdGe2
1.0
4.395 0.864 1.590
0.918 4.004 2.389
0.917 -0.170 4.660
Nb Ge Cd
1 2 1
direct
0.750 0.750 0.750
0.250 0.250 0.250
0.000 0.000 0.000
0.500 0.500 0.500
```

Space-group type: No. 216
Total DFT energy (no corrections) (eV/atom): -4.547
Magnetization (μB per formula unit): 0.950

13.
Nb2CdGe | PBE-GGA | optimized geometry

Cell and atoms, written as POSCAR:
```
Nb2CdGe
1.0
1.349 -4.149 -1.753
2.651 -2.895 2.587
-1.837 -3.980 1.701
Nb Ge Cd
2 1 1
direct
0.750 0.750 0.750
0.000 0.000 0.000
0.500 0.500 0.500
0.250 0.250 0.250
```

Space-group type: No. 216
Total DFT energy (no corrections) (eV/atom): -6.043
Magnetization (μB per formula unit): 0.014

14.
NbCd2GeP4 | PBE-GGA | optimized geometry

Cell and atoms, written as POSCAR:
```
NbCd2GeP4
1.0
6.595 -1.343 1.965
-0.174 -3.307 6.179
-3.369 -1.290 -6.011
Ge Cd Nb P
1 2 1 4
direct
0.000 0.000 0.000
0.500 0.500 0.000
0.750 0.250 0.500
0.250 0.750 0.500
0.906 0.878 0.535
0.343 0.371 0.465
0.629 0.094 0.972
0.122 0.657 0.028
```

Space-group type: No. 82
Total DFT energy (no corrections) (eV/atom): -4.844
Magnetization (μB per formula unit): 0.033

15.
CdNiGe | PBE-GGA | optimized geometry

Cell and atoms, written as POSCAR:
```
CdNiGe
1.0
-4.125 -0.838 0.157
-1.979 -0.146 3.715
-2.726 3.033 1.054
Ge Ni Cd
1 1 1
direct
0.750 0.750 0.750
0.000 0.000 0.000
0.250 0.250 0.250
```

Space-group type: No. 216
Total DFT energy (no corrections) (eV/atom): -3.709
Magnetization (μB per formula unit): 0.004

16.
CdNi2Ge | PBE-GGA | optimized geometry

Cell and atoms, written as POSCAR:
```
CdNi2Ge
1.0
0.000 3.076 3.076
3.076 0.000 3.076
3.076 3.076 0.000
Cd Ge Ni
1 1 2
direct
0.250 0.250 0.250
0.500 0.500 0.500
0.000 0.000 0.000
0.750 0.750 0.750
```

Space-group type: No. 216
Total DFT energy (no corrections) (eV/atom): -3.980
Magnetization (μB per formula unit): 0.001

17.
Cd2NiGeP4 | PBE-GGA | optimized geometry

Cell and atoms, written as POSCAR:
```
Cd2NiGeP4
1.0
4.510 -0.593 5.034
-1.297 -5.761 3.341
0.852 1.212 -6.621
P Ni Ge Cd
4 1 1 2
direct
0.136 0.671 0.067
0.329 0.397 0.466
0.931 0.864 0.534
0.603 0.069 0.933
0.250 0.750 0.500
0.000 0.000 0.000
0.500 0.500 0.000
0.750 0.250 0.500
```

Space-group type: No. 82
Total DFT energy (no corrections) (eV/atom): -4.199
Magnetization (μB per formula unit): 0.007

18.
CdNiGeSe3 | PBE-GGA | optimized geometry

Cell and atoms, written as POSCAR:
```
CdNiGeSe3
1.0
8.918 -1.762 0.000
8.918 1.762 0.000
0.000 0.000 9.077
Ge Se Cd Ni
2 6 2 2
direct
0.195 0.195 0.250
0.805 0.805 0.750
0.410 0.410 0.976
0.590 0.590 0.476
0.789 0.789 0.250
0.590 0.590 0.024
0.211 0.211 0.750
0.410 0.410 0.524
0.526 0.526 0.750
0.474 0.474 0.250
0.000 0.000 0.500
0.000 0.000 0.000
```

Space-group type: No. 63
Offset from the most stable computed form (meV per atom): 0
Total DFT energy (no corrections) (eV/atom): -3.751
Magnetization (μB per formula unit): 0.003

19.
CdNiGeSe3 | PBE-GGA | optimized geometry

Cell and atoms, written as POSCAR:
```
CdNiGeSe3
1.0
-2.480 -2.286 -1.555
-3.096 -3.018 4.941
-7.500 8.007 0.191
Se Ni Cd Ge
6 2 2 2
direct
0.346 0.308 0.927
0.076 0.848 0.750
0.346 0.308 0.573
0.924 0.152 0.250
0.654 0.692 0.427
0.654 0.692 0.073
0.540 0.920 0.250
0.460 0.080 0.750
0.000 0.000 0.500
0.000 0.000 0.000
0.792 0.415 0.750
0.208 0.585 0.250
```

Space-group type: No. 63
Offset from the most stable computed form (meV per atom): 3
Total DFT energy (no corrections) (eV/atom): -3.747
Magnetization (μB per formula unit): 0.013

20.
SrCdNiGe2 | PBE-GGA | optimized geometry

Cell and atoms, written as POSCAR:
```
SrCdNiGe2
1.0
-2.188 2.188 5.412
2.188 -2.188 5.412
2.188 2.188 -5.412
Sr Cd Ni Ge
1 1 1 2
direct
0.500 0.500 0.000
0.250 0.750 0.500
0.750 0.250 0.500
0.882 0.882 0.000
0.118 0.118 0.000
```

Space-group type: No. 119
Total DFT energy (no corrections) (eV/atom): -3.794
Magnetization (μB per formula unit): 0.005

21.
NpCdGe | PBE-GGA | optimized geometry

Cell and atoms, written as POSCAR:
```
NpCdGe
1.0
0.000 3.326 3.326
3.326 0.000 3.326
3.326 3.326 0.000
Np Cd Ge
1 1 1
direct
0.750 0.750 0.750
0.250 0.250 0.250
0.000 0.000 0.000
```

Space-group type: No. 216
Total DFT energy (no corrections) (eV/atom): -5.971
Magnetization (μB per formula unit): 4.927

22.
CdGe2O4 | PBE-GGA | optimized geometry

Cell and atoms, written as POSCAR:
```
CdGe2O4
1.0
-3.674 2.424 -4.591
5.696 2.563 1.201
-0.396 -5.739 -2.712
Ge O Cd
4 8 2
direct
0.375 0.750 0.125
0.875 0.250 0.625
0.375 0.750 0.625
0.375 0.250 0.625
0.608 0.215 0.392
0.608 0.215 0.823
0.142 0.285 0.858
0.608 0.785 0.392
0.142 0.285 0.427
0.177 0.785 0.392
0.142 0.715 0.858
0.573 0.715 0.858
0.000 0.000 0.000
0.750 0.500 0.250
```

Space-group type: No. 227
Total DFT energy (no corrections) (eV/atom): -5.314

23.
Cd2Ge2O5 | PBE-GGA | optimized geometry

Cell and atoms, written as POSCAR:
```
Cd2Ge2O5
1.0
-0.776 -3.762 6.453
3.609 0.902 0.960
-1.256 3.200 1.714
O Cd Ge
5 2 2
direct
0.201 0.500 0.000
0.201 0.000 0.500
0.500 0.500 0.500
0.799 0.500 0.000
0.799 0.000 0.500
0.500 0.000 0.000
0.000 0.000 0.000
0.251 0.500 0.500
0.749 0.500 0.500
```

Space-group type: No. 123
Total DFT energy (no corrections) (eV/atom): -4.961